MgReP2O | PBE | relaxed

Results
**Formation energy without anion corrections**: -281 meV per atom
**Total DFT energy (no corrections)**: -6.245 eV/atom
**Energy above the lowest structure with this stoichiometry**: 0 meV per atom
**Calculated volume**: 17.26 Å³ per atom

a b c (Å): 4.8000 4.8000 3.7450
angles (deg): 90.00 90.00 90.00
Positions (direct):
Mg1 0.5000 0.5000 0.5000
O1 0.0000 0.0000 0.5000
P1 0.0000 0.5000 0.0000
P2 0.5000 0.0000 0.0000
Re1 0.0000 0.0000 0.0000